## Na2HoInCl6 (PBE-GGA)

Data for crystalline Na2HoInCl6 at its relaxed geometry.

Cell: 7.7781 7.7781 7.7781 Å, 55.17 55.17 55.17°
Element x y z (fractional)
Na 0.0000 0.0000 0.0000
Na 0.4848 0.4848 0.4848
Ho 0.6810 0.6810 0.6810
In 0.2001 0.2001 0.2001
Cl 0.0607 0.4309 0.7564
Cl 0.2921 0.8543 0.6368
Cl 0.4309 0.7564 0.0607
Cl 0.6368 0.2921 0.8543
Cl 0.7564 0.0607 0.4309
Cl 0.8543 0.6368 0.2921

Results
Its space group is No. 146. The value obtained for the magnetic moment is 0.0 μB/cell. Its density of states at the Fermi level is 0.00 states/eV per cell. As for the total energy: -3.91 eV/atom. The calculation puts the theoretical density at 3.03 g/cm3. The value obtained for the uncorrected formation energy is -1.81 eV per atom.

***

## Mg2RhCl (PBE-GGA)

Data for crystalline Mg2RhCl at its relaxed geometry.

Cell: 9.2102 9.2102 9.2102 Å, 19.86 19.86 19.86°
Element x y z (fractional)
Mg 0.0000 0.0000 0.0000
Mg 0.2338 0.2338 0.2338
Rh 0.4976 0.4976 0.4976
Cl 0.7268 0.7268 0.7268

Results
Its space group is No. 160. The value obtained for the magnetic moment is 0.6 μB/cell. Its density of states at the Fermi level is 4.18 states/eV per cell. As for the total energy: -3.35 eV/atom. The calculation puts the theoretical density at 3.94 g/cm3. The value obtained for the uncorrected formation energy is -0.26 eV per atom.

***

## MgMo2Ru (PBE-GGA)

Data for crystalline MgMo2Ru at its relaxed geometry.

Cell: 2.7528 2.7528 8.9426 Å, 90.00 90.00 109.82°
Element x y z (fractional)
Mg 0.0000 0.0000 0.0000
Mo 0.0000 0.0000 0.4842
Mo 0.5000 0.5000 0.7291
Ru 0.5000 0.5000 0.2495

Results
Its space group is No. 35. The calculation puts the formation energy at 167 meV per atom. The value obtained for the magnetic moment is 0.0 μB/cell. Its density of states at the Fermi level is 4.08 states/eV per cell. As for the total energy: -7.97 eV/atom. The calculation puts the theoretical density at 8.26 g/cm3.

***

## CdNi2Pd2 (PBE-GGA)

Data for crystalline CdNi2Pd2 at its relaxed geometry.

Cell: 7.3428 7.3428 2.8014 Å, 90.00 90.00 90.00°
Element x y z (fractional)
Cd 0.0000 0.0000 0.0000
Cd 0.5000 0.5000 0.0000
Ni 0.1617 0.3383 0.5000
Ni 0.3383 0.8383 0.5000
Ni 0.6617 0.1617 0.5000
Ni 0.8383 0.6617 0.5000
Pd 0.1346 0.6346 0.0000
Pd 0.3654 0.1346 0.0000
Pd 0.6346 0.8654 0.0000
Pd 0.8654 0.3654 0.0000

Results
Its space group is No. 127. The calculation puts the formation energy at 75 meV per atom. The value obtained for the magnetic moment is 2.2 μB/cell. Its density of states at the Fermi level is 13.02 states/eV per cell. As for the total energy: -4.50 eV/atom. The calculation puts the theoretical density at 9.73 g/cm3.

***

## TlIO3 (PBE-GGA)

Data for crystalline TlIO3 at its relaxed geometry.

Cell: 4.2790 4.2790 4.2790 Å, 90.00 90.00 90.00°
Element x y z (fractional)
Tl 0.0000 0.0000 0.0000
I 0.5000 0.5000 0.5000
O 0.0000 0.0000 0.5000
O 0.0000 0.5000 0.0000
O 0.5000 0.0000 0.0000

Results
Its space group is No. 221. The value obtained for the magnetic moment is 0.0 μB/cell. Its density of states at the Fermi level is 4.05 states/eV per cell. As for the total energy: -3.32 eV/atom. The calculation puts the theoretical density at 8.04 g/cm3. The value obtained for the uncorrected formation energy is 0.44 eV per atom.

***

## La2CoHg (PBE-GGA)

Data for crystalline La2CoHg at its relaxed geometry.

Cell: 5.5935 5.5935 5.5935 Å, 131.52 131.52 70.99°
Element x y z (fractional)
La 0.0000 0.0000 0.0000
La 0.7500 0.2500 0.5000
Co 0.2500 0.7500 0.5000
Hg 0.5000 0.5000 0.0000

Results
Its space group is No. 119. The calculation puts the formation energy at 9 meV per atom. The value obtained for the magnetic moment is 0.3 μB/cell. Its density of states at the Fermi level is 3.90 states/eV per cell. As for the total energy: -4.31 eV/atom. The calculation puts the theoretical density at 9.29 g/cm3.